Entry from the Alexandria database: a geometry-optimized Ba2PaP2N6 structure (PBE-GGA).

The formation energy without anion corrections is -1.0305 eV/atom.

Lattice parameters (Å, degrees): 6.695 6.695 6.695 52.54 52.54 52.54
Fractional coordinates of all 11 atoms:
Ba1 0.226 0.226 0.226
Ba2 0.774 0.774 0.774
Pa1 0.000 0.000 0.000
P1 0.429 0.429 0.429
P2 0.571 0.571 0.571
N1 0.256 0.256 0.721
N2 0.256 0.721 0.256
N3 0.279 0.744 0.744
N4 0.721 0.256 0.256
N5 0.744 0.279 0.744
N6 0.744 0.744 0.279

***

Entry from the Alexandria database: a geometry-optimized Th2MnAs2N2 structure (PBE-GGA).

The formation energy without anion corrections is -0.7383 eV/atom.

Lattice parameters (Å, degrees): 3.975 3.975 12.254 90.00 90.00 120.00
Fractional coordinates of all 7 atoms:
Th1 0.333 0.667 0.122
Th2 0.667 0.333 0.878
Mn1 0.000 0.000 0.500
As1 0.000 0.000 0.309
As2 0.000 0.000 0.691
N1 0.333 0.667 0.925
N2 0.667 0.333 0.075

***

Entry from the Alexandria database: a geometry-optimized VCuAu structure (PBE-GGA).

The value obtained for the excess energy over the best structure of this formula in the dataset is 0 meV per atom. For the energy of formation, the calculation gives 0.01 eV per atom.

Lattice parameters (Å, degrees): 3.839 3.839 11.836 90.00 90.10 90.00
Fractional coordinates of all 12 atoms:
V1 0.248 0.000 0.084
V2 0.252 0.500 0.916
V3 0.748 0.500 0.084
V4 0.752 0.000 0.916
Cu1 0.249 0.499 0.570
Cu2 0.251 0.999 0.430
Cu3 0.749 0.999 0.570
Cu4 0.751 0.499 0.430
Au1 0.249 0.500 0.259
Au2 0.251 0.000 0.741
Au3 0.749 0.000 0.259
Au4 0.751 0.500 0.741

***

Entry from the Alexandria database: a geometry-optimized LiMgAg2Hg structure (PBE-GGA).

For the energy of formation, the calculation gives -0.10 eV per atom.

Lattice parameters (Å, degrees): 9.705 9.705 6.986 90.00 90.00 162.01
Fractional coordinates of all 10 atoms:
Li1 0.095 0.905 0.750
Li2 0.905 0.095 0.250
Mg1 0.254 0.746 0.250
Mg2 0.746 0.254 0.750
Ag1 0.351 0.649 0.548
Ag2 0.351 0.649 0.952
Ag3 0.649 0.351 0.048
Ag4 0.649 0.351 0.452
Hg1 0.500 0.500 0.000
Hg2 0.500 0.500 0.500

***

Entry from the Alexandria database: a geometry-optimized LiCeGe2 structure (PBE-GGA).

The value obtained for the excess energy over the best structure of this formula in the dataset is 0 meV per atom. For the energy of formation, the calculation gives -0.61 eV per atom.

Lattice parameters (Å, degrees): 7.823 3.975 10.596 90.00 90.00 90.00
Fractional coordinates of all 16 atoms:
Li1 0.014 0.250 0.105
Li2 0.486 0.750 0.605
Li3 0.514 0.250 0.395
Li4 0.986 0.750 0.895
Ce1 0.136 0.750 0.365
Ce2 0.364 0.250 0.865
Ce3 0.636 0.750 0.135
Ce4 0.864 0.250 0.635
Ge1 0.157 0.750 0.690
Ge2 0.231 0.750 0.065
Ge3 0.269 0.250 0.565
Ge4 0.343 0.250 0.190
Ge5 0.657 0.750 0.810
Ge6 0.731 0.750 0.435
Ge7 0.769 0.250 0.935
Ge8 0.843 0.250 0.310

***

Entry from the Alexandria database: a geometry-optimized AlRhS2Cl structure (PBE-GGA).

The value obtained for the excess energy over the best structure of this formula in the dataset is 66 meV per atom. The formation energy without anion corrections is 0.2320 eV/atom.

Lattice parameters (Å, degrees): 4.642 4.642 4.531 90.00 90.00 90.00
Fractional coordinates of all 5 atoms:
Al1 0.000 0.000 0.000
Rh1 0.500 0.500 0.500
S1 0.000 0.500 0.000
S2 0.500 0.000 0.000
Cl1 0.000 0.000 0.500

***

Entry from the Alexandria database: a geometry-optimized Nd6GeRh2I3 structure (PBE-GGA).

The formation energy without anion corrections is -0.9114 eV/atom.

Lattice parameters (Å, degrees): 7.392 7.392 8.376 98.48 98.48 120.00
Fractional coordinates of all 12 atoms:
Nd1 0.091 0.438 0.810
Nd2 0.216 0.216 0.189
Nd3 0.438 0.091 0.810
Nd4 0.562 0.909 0.190
Nd5 0.784 0.784 0.811
Nd6 0.909 0.562 0.190
Ge1 0.500 0.500 0.000
Rh1 0.167 0.833 0.000
Rh2 0.833 0.167 0.000
I1 0.000 0.000 0.500
I2 0.338 0.662 0.500
I3 0.662 0.338 0.500

***

Entry from the Alexandria database: a geometry-optimized Hg5Pb structure (PBE-GGA).

The value obtained for the excess energy over the best structure of this formula in the dataset is 0 meV per atom. For the energy of formation, the calculation gives 0.02 eV per atom.

Lattice parameters (Å, degrees): 5.363 3.381 18.172 90.00 90.00 90.00
Fractional coordinates of all 12 atoms:
Hg1 0.000 0.000 0.000
Hg2 0.000 0.000 0.328
Hg3 0.000 0.000 0.663
Hg4 0.000 0.500 0.163
Hg5 0.000 0.500 0.500
Hg6 0.000 0.500 0.828
Hg7 0.500 0.000 0.216
Hg8 0.500 0.000 0.552
Hg9 0.500 0.500 0.052
Hg10 0.500 0.500 0.716
Pb1 0.500 0.000 0.885
Pb2 0.500 0.500 0.385